(1)
An optimized crystal structure of LaSe2Br, computed with PBE.

abc: 7.892 7.892 7.892
angles: 148.84 143.90 48.42
Element x y z (fractional)
La1 0.265 0.765 0.500
Br1 0.413 0.413 0.000
Se1 0.694 0.194 0.500
Se2 0.128 0.128 0.000

Values from the calculation:
SG = No. 44
Crystal system = orthorhombic
Formation energy from raw total energies = -1.319 eV per atom

=====

(2)
An optimized crystal structure of CeNd2Hg, computed with PBE.

abc: 3.655 3.655 11.113
angles: 80.53 80.53 60.00
Site moments in Bohr magnetons follow the coordinates.
Element x y z (fractional)
Nd1 0.077 0.077 0.768  0.03
Nd2 0.256 0.256 0.231  0.02
Ce1 0.500 0.500 0.501  0.84
Hg1 0.667 0.667 0.000  -0.01

Values from the calculation:
ΔH_f (0 K) = -0.0767 eV/atom
SG = No. 160
Crystal system = trigonal